No. 1
First-principles (PBE) data for crystalline Pm2InHg4 at its relaxed geometry, as listed in Alexandria.

Unit cell a=5.1825 b=5.1825 c=24.8724 alpha=90.00 beta=90.00 gamma=120.00
Space group R-3m (No. 166, hexagonal axes)
One atom of each set of equivalent atoms:
Pm: 0.0000 0.0000 0.2445 x6
In: 0.0000 0.0000 0.5000 x3
Hg: 0.0000 0.0000 0.1135 x6
Hg: 0.0000 0.0000 0.3692 x6

## Properties
Total magnetic moment (μB per formula unit): 0.00
Energy relative to the lowest polymorph listed for this composition (meV/atom): 0
Formation energy from the elements (eV/atom): -0.33



No. 2
First-principles (PBE) data for crystalline Pm3InHg3 at its relaxed geometry, as listed in Alexandria.

Unit cell a=10.218 b=10.301 c=7.615 alpha=90.00 beta=90.51 gamma=90.00
Space group C2/m (No. 12)
One atom of each set of equivalent atoms:
Pm: 0.073 0.000 0.248 x4
Pm: 0.248 0.195 0.751 x8
In: 0.143 0.500 0.936 x4
Hg: 0.000 0.241 0.000 x4
Hg: 0.000 0.242 0.500 x4
Hg: 0.156 0.500 0.549 x4

## Properties
Total magnetic moment (μB per formula unit): 0.00
Energy relative to the lowest polymorph listed for this composition (meV/atom): 13
Formation energy from the elements (eV/atom): -0.36



No. 3
First-principles (PBE) data for crystalline Pm4In2Hg5 at its relaxed geometry, as listed in Alexandria.

Unit cell a=8.155 b=3.671 c=10.129 alpha=90.00 beta=96.63 gamma=90.00
Space group P2/m (No. 10)
One atom of each set of equivalent atoms:
Pm: 0.187 0.000 0.393 x2
Pm: 0.273 0.000 0.929 x2
In: 0.072 0.500 0.135 x2
Hg: 0.162 0.500 0.655 x2
Hg: 0.446 0.500 0.194 x2
Hg: 0.500 0.500 0.500 x1

## Properties
Total magnetic moment (μB per formula unit): 0.00
Formation energy from the elements (eV/atom): -0.39



No. 4
First-principles (PBE) data for crystalline Pm3In3Hg at its relaxed geometry, as listed in Alexandria.

Unit cell a=11.602 b=4.771 c=15.376 alpha=90.00 beta=108.87 gamma=90.00
Space group C2/m (No. 12)
One atom of each set of equivalent atoms:
Pm: 0.033 0.000 0.380 x4
Pm: 0.102 0.000 0.923 x4
Pm: 0.232 0.000 0.222 x4
In: 0.015 0.500 0.228 x4
In: 0.117 0.500 0.074 x4
In: 0.133 0.500 0.543 x4
Hg: 0.241 0.500 0.382 x4

## Properties
Total magnetic moment (μB per formula unit): 0.00
Formation energy from the elements (eV/atom): -0.45



No. 5
First-principles (PBE) data for crystalline PmInHg2 at its relaxed geometry, as listed in Alexandria.

Unit cell a=7.392 b=7.392 c=7.392 alpha=90.00 beta=90.00 gamma=90.00
Space group Fm-3m (No. 225)
One atom of each set of equivalent atoms:
Pm: 0.000 0.000 0.000 x4
In: 0.000 0.000 0.500 x4
Hg: 0.250 0.250 0.250 x8

## Properties
Total magnetic moment (μB per formula unit): 0.00
Energy relative to the lowest polymorph listed for this composition (meV/atom): 0
Formation energy from the elements (eV/atom): -0.40



No. 6
First-principles (PBE) data for crystalline PmIn3Hg3 at its relaxed geometry, as listed in Alexandria.

Unit cell a=7.823 b=7.823 c=7.823 alpha=90.00 beta=90.00 gamma=90.00
Space group Pm-3n (No. 223)
One atom of each set of equivalent atoms:
Pm: 0.000 0.000 0.000 x2
In: 0.000 0.250 0.500 x6
Hg: 0.000 0.500 0.250 x6

## Properties
Total magnetic moment (μB per formula unit): 0.00
Energy relative to the lowest polymorph listed for this composition (meV/atom): 487
Formation energy from the elements (eV/atom): 0.32



No. 7
First-principles (PBE) data for crystalline Pm2In3Hg3 at its relaxed geometry, as listed in Alexandria.

Unit cell a=4.635 b=4.674 c=9.412 alpha=90.00 beta=90.00 gamma=90.00
Space group Pmmm (No. 47)
One atom of each set of equivalent atoms:
Pm: 0.000 0.000 0.250 x2
In: 0.500 0.000 0.000 x1
In: 0.500 0.500 0.250 x2
Hg: 0.000 0.500 0.000 x1
Hg: 0.000 0.500 0.500 x1
Hg: 0.500 0.000 0.500 x1

## Properties
Total magnetic moment (μB per formula unit): 0.00
Formation energy from the elements (eV/atom): -0.41



No. 8
First-principles (PBE) data for crystalline PmIn3Hg3 at its relaxed geometry, as listed in Alexandria.

Unit cell a=9.0473 b=9.0473 c=5.1521 alpha=90.00 beta=90.00 gamma=120.00
Space group P6_3/m (No. 176)
One atom of each set of equivalent atoms:
Pm: 0.3333 0.6667 0.2500 x2
In: 0.0280 0.7912 0.2500 x6
Hg: 0.0940 0.6169 0.7500 x6

## Properties
Total magnetic moment (μB per formula unit): 0.00
Energy relative to the lowest polymorph listed for this composition (meV/atom): 0
Formation energy from the elements (eV/atom): -0.17



No. 9
First-principles (PBE) data for crystalline Pm3In3Hg2 at its relaxed geometry, as listed in Alexandria.

Unit cell a=4.801 b=11.471 c=15.871 alpha=90.00 beta=90.00 gamma=90.00
Space group Cmcm (No. 63)
One atom of each set of equivalent atoms:
Pm: 0.000 0.083 0.111 x8
Pm: 0.000 0.344 0.250 x4
In: 0.000 0.375 0.750 x4
In: 0.000 0.386 0.040 x8
Hg: 0.000 0.210 0.608 x8

## Properties
Total magnetic moment (μB per formula unit): 0.00
Energy relative to the lowest polymorph listed for this composition (meV/atom): 0
Formation energy from the elements (eV/atom): -0.46



No. 10
First-principles (PBE) data for crystalline PmIn12Hg6 at its relaxed geometry, as listed in Alexandria.

Unit cell a=11.4005 b=11.4005 c=13.9728 alpha=90.00 beta=90.00 gamma=120.00
Space group R-3 (No. 148, hexagonal axes)
One atom of each set of equivalent atoms:
Pm: 0.0000 0.0000 0.0000 x3
In: 0.0440 0.1843 0.4055 x18
In: 0.0962 0.2002 0.1849 x18
Hg: 0.0112 0.5414 0.6251 x18

## Properties
Total magnetic moment (μB per formula unit): 0.00
Formation energy from the elements (eV/atom): -0.04



No. 11
First-principles (PBE) data for crystalline Pm3InHg3 at its relaxed geometry, as listed in Alexandria.

Unit cell a=9.3687 b=9.3687 c=5.1684 alpha=90.00 beta=90.00 gamma=120.00
Space group P6_3/m (No. 176)
One atom of each set of equivalent atoms:
Pm: 0.0999 0.6557 0.2500 x6
In: 0.3333 0.6667 0.7500 x2
Hg: 0.0392 0.8050 0.7500 x6

## Properties
Total magnetic moment (μB per formula unit): 0.00
Energy relative to the lowest polymorph listed for this composition (meV/atom): 0
Formation energy from the elements (eV/atom): -0.37



No. 12
First-principles (PBE) data for crystalline Pm4InHg2 at its relaxed geometry, as listed in Alexandria.

Unit cell a=5.3478 b=5.3478 c=25.4387 alpha=90.00 beta=90.00 gamma=120.00
Space group R-3m (No. 166, hexagonal axes)
One atom of each set of equivalent atoms:
Pm: 0.0000 0.0000 0.1148 x6
Pm: 0.0000 0.0000 0.3690 x6
In: 0.0000 0.0000 0.5000 x3
Hg: 0.0000 0.0000 0.2437 x6

## Properties
Total magnetic moment (μB per formula unit): 1.26
Formation energy from the elements (eV/atom): -0.32